No. 1
VASP calculation (GGA-PBEsol) on crystalline LiCaSe2 at its relaxed geometry.

Lattice parameters (Å, degrees): 4.762 4.762 3.678 90.00 90.00 90.00
Atoms (fractional coordinates):
Li 0.000 0.000 0.000
Ca 0.500 0.500 0.000
Se 0.000 0.500 0.500
Se 0.500 0.000 0.500

D(E_F)   0.513 states/eV/atom
Energy relative to the elements, uncorrected   -1.21 eV/atom
Mass density   4.1 g cm⁻³
Electronic total energy   -4.162 eV per atom
Magnetization   0.000 μB per formula unit


No. 2
VASP calculation (GGA-PBEsol) on crystalline ErCrO4 at its relaxed geometry.

Lattice parameters (Å, degrees): 5.845 5.845 5.845 106.09 106.09 116.47
Atoms (fractional coordinates):
Er 0.375 0.625 0.750
Er 0.625 0.375 0.250
Cr 0.125 0.875 0.250
Cr 0.875 0.125 0.750
O 0.133 0.698 0.435
O 0.236 0.302 0.935
O 0.302 0.236 0.435
O 0.302 0.867 0.065
O 0.698 0.133 0.935
O 0.698 0.764 0.565
O 0.764 0.698 0.065
O 0.867 0.302 0.565

D(E_F)   0.664 states/eV/atom
Energy relative to the elements, uncorrected   -2.65 eV/atom
Mass density   6.2 g cm⁻³
Electronic total energy   -8.677 eV per atom
Magnetization   1.000 μB per formula unit


No. 3
VASP calculation (GGA-PBEsol) on crystalline Be2HgRh at its relaxed geometry.

Lattice parameters (Å, degrees): 2.923 2.923 5.849 90.00 90.00 90.00
Atoms (fractional coordinates):
Be 0.000 0.000 0.000
Be 0.500 0.500 0.207
Hg 0.000 0.000 0.477
Rh 0.500 0.500 0.830

D(E_F)   0.323 states/eV/atom
Energy of formation   -2.10 kcal/mol of atoms
Mass density   10.7 g cm⁻³
Electronic total energy   -4.268 eV per atom
Magnetization   0.000 μB per formula unit


No. 4
VASP calculation (GGA-PBEsol) on crystalline Bi14MoO24 at its relaxed geometry.

Lattice parameters (Å, degrees): 8.670 8.696 10.496 114.01 114.36 90.50
Atoms (fractional coordinates):
Bi 0.000 0.000 0.000
Bi 0.015 0.845 0.334
Bi 0.093 0.737 0.667
Bi 0.105 0.580 0.995
Bi 0.216 0.454 0.320
Bi 0.269 0.329 0.663
Bi 0.344 0.238 0.997
Bi 0.426 0.074 0.340
Bi 0.494 0.921 0.668
Bi 0.609 0.666 0.340
Bi 0.680 0.512 0.668
Bi 0.765 0.341 0.000
Bi 0.832 0.259 0.340
Bi 0.889 0.130 0.675
Mo 0.570 0.824 0.028
O 0.004 0.550 0.157
O 0.049 0.123 0.504
O 0.057 0.461 0.499
O 0.101 0.028 0.842
O 0.148 0.336 0.835
O 0.170 0.911 0.235
O 0.220 0.780 0.491
O 0.260 0.188 0.157
O 0.313 0.501 0.159
O 0.376 0.293 0.492
O 0.380 0.669 0.943
O 0.428 0.170 0.760
O 0.521 0.000 0.984
O 0.541 0.614 0.494
O 0.559 0.968 0.511
O 0.671 0.903 0.234
O 0.673 0.415 0.240
O 0.723 0.736 0.963
O 0.730 0.290 0.512
O 0.790 0.085 0.842
O 0.845 0.389 0.839
O 0.888 0.798 0.509
O 0.935 0.673 0.763
O 0.948 0.241 0.157

D(E_F)   0.000 states/eV/atom
Energy relative to the elements, uncorrected   -1.34 eV/atom
Mass density   8.8 g cm⁻³
Electronic total energy   -6.406 eV per atom
Magnetization   0.000 μB per formula unit


No. 5
VASP calculation (GGA-PBEsol) on crystalline InFe2Ir at its relaxed geometry.

Lattice parameters (Å, degrees): 3.841 3.841 7.667 90.00 90.00 90.00
Atoms (fractional coordinates):
In 0.000 0.000 0.000
In 0.500 0.500 0.500
Fe 0.000 0.500 0.250
Fe 0.000 0.500 0.750
Fe 0.500 0.000 0.250
Fe 0.500 0.000 0.750
Ir 0.000 0.000 0.500
Ir 0.500 0.500 0.000

D(E_F)   1.090 states/eV/atom
Energy of formation   4.16 kcal/mol of atoms
Mass density   12.3 g cm⁻³
Electronic total energy   -7.503 eV per atom
Magnetization   5.616 μB per formula unit


No. 6
VASP calculation (GGA-PBEsol) on crystalline SrYMg6 at its relaxed geometry.

Lattice parameters (Å, degrees): 6.745 6.745 4.728 90.00 90.00 90.00
Atoms (fractional coordinates):
Sr 0.000 0.000 0.000
Y 0.500 0.500 0.000
Mg 0.000 0.500 0.000
Mg 0.263 0.263 0.500
Mg 0.263 0.737 0.500
Mg 0.500 0.000 0.000
Mg 0.737 0.263 0.500
Mg 0.737 0.737 0.500

D(E_F)   0.834 states/eV/atom
Energy of formation   -0.43 kcal/mol of atoms
Mass density   2.5 g cm⁻³
Electronic total energy   -2.389 eV per atom
Magnetization   0.001 μB per formula unit


No. 7
VASP calculation (GGA-PBEsol) on crystalline TaZnHg2 at its relaxed geometry.

Lattice parameters (Å, degrees): 4.273 2.936 11.548 90.00 90.00 90.00
Atoms (fractional coordinates):
Ta 0.000 0.000 0.000
Ta 0.000 0.500 0.500
Zn 0.500 0.000 0.404
Zn 0.500 0.500 0.904
Hg 0.000 0.000 0.266
Hg 0.000 0.500 0.766
Hg 0.500 0.000 0.634
Hg 0.500 0.500 0.134

D(E_F)   0.692 states/eV/atom
Energy of formation   5.84 kcal/mol of atoms
Mass density   14.8 g cm⁻³
Electronic total energy   -3.563 eV per atom
Magnetization   0.000 μB per formula unit


No. 8
VASP calculation (GGA-PBEsol) on crystalline Na3BSbPO7 at its relaxed geometry.

Lattice parameters (Å, degrees): 5.408 6.802 9.320 90.00 93.84 90.00
Atoms (fractional coordinates):
Na 0.220 0.250 0.436
Na 0.261 0.507 0.743
Na 0.261 0.993 0.743
Na 0.739 0.007 0.257
Na 0.739 0.493 0.257
Na 0.780 0.750 0.564
B 0.250 0.750 0.429
B 0.750 0.250 0.571
Sb 0.213 0.750 0.149
Sb 0.787 0.250 0.851
P 0.260 0.250 0.103
P 0.740 0.750 0.897
O 0.031 0.750 0.333
O 0.147 0.070 0.181
O 0.147 0.430 0.181
O 0.177 0.250 0.939
O 0.235 0.750 0.571
O 0.459 0.750 0.878
O 0.465 0.750 0.353
O 0.535 0.250 0.647
O 0.541 0.250 0.122
O 0.765 0.250 0.429
O 0.823 0.750 0.061
O 0.853 0.570 0.819
O 0.853 0.930 0.819
O 0.969 0.250 0.667

D(E_F)   0.000 states/eV/atom
Energy relative to the elements, uncorrected   -2.04 eV/atom
Mass density   3.3 g cm⁻³
Electronic total energy   -6.530 eV per atom
Magnetization   0.000 μB per formula unit


No. 9
VASP calculation (GGA-PBEsol) on crystalline Ta6S at its relaxed geometry.

Lattice parameters (Å, degrees): 5.210 7.492 7.495 113.82 109.01 98.38
Atoms (fractional coordinates):
Ta 0.000 0.000 0.000
Ta 0.002 0.295 0.371
Ta 0.149 0.151 0.721
Ta 0.229 0.690 0.064
Ta 0.443 0.410 0.227
Ta 0.472 0.136 0.425
Ta 0.500 0.000 0.000
Ta 0.528 0.864 0.575
Ta 0.557 0.590 0.773
Ta 0.771 0.310 0.936
Ta 0.851 0.849 0.279
Ta 0.998 0.705 0.629
S 0.075 0.584 0.300
S 0.925 0.416 0.700

D(E_F)   0.586 states/eV/atom
Energy relative to the elements, uncorrected   -0.31 eV/atom
Mass density   15.5 g cm⁻³
Electronic total energy   -11.693 eV per atom
Magnetization   0.000 μB per formula unit


No. 10
VASP calculation (GGA-PBEsol) on crystalline MnMoAs at its relaxed geometry.

Lattice parameters (Å, degrees): 5.580 5.580 5.580 90.00 90.00 90.00
Atoms (fractional coordinates):
Mn 0.000 0.000 0.000
Mn 0.000 0.500 0.500
Mn 0.500 0.000 0.500
Mn 0.500 0.500 0.000
Mo 0.250 0.250 0.250
Mo 0.250 0.750 0.750
Mo 0.750 0.250 0.750
Mo 0.750 0.750 0.250
As 0.250 0.250 0.750
As 0.250 0.750 0.250
As 0.750 0.250 0.250
As 0.750 0.750 0.750

D(E_F)   0.222 states/eV/atom
Energy of formation   -4.73 kcal/mol of atoms
Mass density   8.6 g cm⁻³
Electronic total energy   -9.084 eV per atom
Magnetization   0.000 μB per formula unit


No. 11
VASP calculation (GGA-PBEsol) on crystalline LiTl3Pt at its relaxed geometry.

Lattice parameters (Å, degrees): 5.286 5.286 5.286 90.00 90.00 90.00
Atoms (fractional coordinates):
Li 0.000 0.000 0.000
Tl 0.000 0.500 0.500
Tl 0.500 0.000 0.500
Tl 0.500 0.500 0.000
Pt 0.500 0.500 0.500

D(E_F)   0.577 states/eV/atom
Energy of formation   2.13 kcal/mol of atoms
Mass density   9.2 g cm⁻³
Electronic total energy   -3.272 eV per atom
Magnetization   0.000 μB per formula unit


No. 12
VASP calculation (GGA-PBEsol) on crystalline CeSnPt at its relaxed geometry.

Lattice parameters (Å, degrees): 7.443 7.443 4.132 90.00 90.00 120.00
Atoms (fractional coordinates):
Ce 0.000 0.588 0.000
Ce 0.412 0.412 0.000
Ce 0.588 0.000 0.000
Sn 0.000 0.253 0.500
Sn 0.253 0.000 0.500
Sn 0.747 0.747 0.500
Pt 0.000 0.000 0.000
Pt 0.333 0.667 0.500
Pt 0.667 0.333 0.500

D(E_F)   1.976 states/eV/atom
Energy of formation   -21.82 kcal/mol of atoms
Mass density   11.4 g cm⁻³
Electronic total energy   -6.886 eV per atom
Magnetization   0.918 μB per formula unit


No. 13
VASP calculation (GGA-PBEsol) on crystalline Co2AgF at its relaxed geometry.

Lattice parameters (Å, degrees): 4.366 4.366 12.888 90.00 90.00 90.00
Atoms (fractional coordinates):
Co 0.000 0.000 0.000
Co 0.000 0.500 0.000
Co 0.250 0.250 0.750
Co 0.250 0.750 0.250
Co 0.500 0.000 0.500
Co 0.500 0.500 0.500
Co 0.750 0.250 0.750
Co 0.750 0.750 0.250
Ag 0.000 0.250 0.375
Ag 0.000 0.750 0.625
Ag 0.500 0.250 0.125
Ag 0.500 0.750 0.875
F 0.000 0.250 0.875
F 0.000 0.750 0.125
F 0.500 0.250 0.625
F 0.500 0.750 0.375

D(E_F)   1.247 states/eV/atom
Energy relative to the elements, uncorrected   0.49 eV/atom
Mass density   6.6 g cm⁻³
Electronic total energy   -4.690 eV per atom
Magnetization   3.615 μB per formula unit


No. 14
VASP calculation (GGA-PBEsol) on crystalline SrLaAg2 at its relaxed geometry.

Lattice parameters (Å, degrees): 3.775 3.775 7.701 90.00 90.00 90.00
Atoms (fractional coordinates):
Sr 0.000 0.000 0.000
La 0.000 0.000 0.500
Ag 0.500 0.500 0.275
Ag 0.500 0.500 0.725

D(E_F)   0.788 states/eV/atom
Energy of formation   -5.39 kcal/mol of atoms
Mass density   6.7 g cm⁻³
Electronic total energy   -3.686 eV per atom
Magnetization   0.000 μB per formula unit


No. 15
VASP calculation (GGA-PBEsol) on crystalline KMgSb at its relaxed geometry.

Lattice parameters (Å, degrees): 4.784 4.784 8.209 90.00 90.00 90.00
Atoms (fractional coordinates):
K 0.250 0.250 0.149
K 0.750 0.750 0.851
Mg 0.250 0.750 0.500
Mg 0.750 0.250 0.500
Sb 0.250 0.250 0.703
Sb 0.750 0.750 0.297

Energy relative to the elements, uncorrected   -0.59 eV/atom
Mass density   3.3 g cm⁻³
Electronic total energy   -3.062 eV per atom
Magnetization   0.000 μB per formula unit


No. 16
VASP calculation (GGA-PBEsol) on crystalline CaSb2Se at its relaxed geometry.

Lattice parameters (Å, degrees): 4.238 4.238 11.403 90.00 90.00 90.00
Atoms (fractional coordinates):
Ca 0.000 0.000 0.000
Ca 0.500 0.500 0.500
Sb 0.000 0.500 0.250
Sb 0.000 0.500 0.750
Sb 0.500 0.000 0.250
Sb 0.500 0.000 0.750
Se 0.000 0.000 0.500
Se 0.500 0.500 0.000

D(E_F)   0.577 states/eV/atom
Energy relative to the elements, uncorrected   -0.64 eV/atom
Mass density   5.9 g cm⁻³
Electronic total energy   -4.410 eV per atom
Magnetization   0.000 μB per formula unit


No. 17
VASP calculation (GGA-PBEsol) on crystalline YFe2Rh at its relaxed geometry.

Lattice parameters (Å, degrees): 3.309 4.180 8.990 90.00 90.00 90.00
Atoms (fractional coordinates):
Y 0.000 0.000 0.000
Y 0.500 0.500 0.500
Fe 0.000 0.500 0.237
Fe 0.000 0.500 0.763
Fe 0.500 0.000 0.263
Fe 0.500 0.000 0.737
Rh 0.000 0.000 0.500
Rh 0.500 0.500 0.000

D(E_F)   0.635 states/eV/atom
Energy of formation   0.91 kcal/mol of atoms
Mass density   8.1 g cm⁻³
Electronic total energy   -8.183 eV per atom
Magnetization   5.850 μB per formula unit


No. 18
VASP calculation (GGA-PBEsol) on crystalline ZnTc at its relaxed geometry.

Lattice parameters (Å, degrees): 4.260 2.731 4.721 90.00 90.00 90.00
Atoms (fractional coordinates):
Zn 0.250 0.000 0.140
Zn 0.750 0.000 0.860
Tc 0.250 0.500 0.633
Tc 0.750 0.500 0.367

D(E_F)   0.599 states/eV/atom
Energy of formation   1.95 kcal/mol of atoms
Mass density   9.9 g cm⁻³
Electronic total energy   -6.339 eV per atom
Magnetization   0.000 μB per formula unit


No. 19
VASP calculation (GGA-PBEsol) on crystalline Co3O2F4 at its relaxed geometry.

Lattice parameters (Å, degrees): 4.534 4.534 8.718 90.52 90.52 94.57
Atoms (fractional coordinates):
Co 0.000 0.000 0.000
Co 0.002 0.002 0.658
Co 0.464 0.464 0.170
Co 0.500 0.500 0.500
Co 0.536 0.536 0.830
Co 0.998 0.998 0.342
O 0.175 0.175 0.171
O 0.197 0.197 0.498
O 0.803 0.803 0.502
O 0.825 0.825 0.829
F 0.218 0.218 0.825
F 0.281 0.708 0.335
F 0.292 0.719 0.665
F 0.295 0.705 0.000
F 0.705 0.295 0.000
F 0.708 0.281 0.335
F 0.719 0.292 0.665
F 0.782 0.782 0.175

D(E_F)   1.051 states/eV/atom
Energy relative to the elements, uncorrected   -1.41 eV/atom
Mass density   5.3 g cm⁻³
Electronic total energy   -6.013 eV per atom
Magnetization   5.806 μB per formula unit


No. 20
VASP calculation (GGA-PBEsol) on crystalline TiBi2Pd at its relaxed geometry.

Lattice parameters (Å, degrees): 4.560 4.560 18.249 90.00 90.00 90.00
Atoms (fractional coordinates):
Ti 0.000 0.000 0.000
Ti 0.000 0.500 0.250
Ti 0.500 0.000 0.750
Ti 0.500 0.500 0.500
Bi 0.248 0.250 0.625
Bi 0.250 0.748 0.875
Bi 0.250 0.752 0.375
Bi 0.252 0.250 0.125
Bi 0.748 0.750 0.125
Bi 0.750 0.248 0.375
Bi 0.750 0.252 0.875
Bi 0.752 0.750 0.625
Pd 0.000 0.000 0.500
Pd 0.000 0.500 0.750
Pd 0.500 0.000 0.250
Pd 0.500 0.500 0.000

D(E_F)   1.113 states/eV/atom
Energy of formation   3.21 kcal/mol of atoms
Mass density   10.0 g cm⁻³
Electronic total energy   -5.574 eV per atom
Magnetization   0.885 μB per formula unit


No. 21
VASP calculation (GGA-PBEsol) on crystalline Al2Se3 at its relaxed geometry.

Lattice parameters (Å, degrees): 6.728 6.728 7.325 116.55 116.55 59.75
Atoms (fractional coordinates):
Al 0.067 0.933 0.500
Al 0.245 0.437 0.012
Al 0.437 0.245 0.512
Al 0.933 0.067 0.000
Se 0.038 0.240 0.389
Se 0.240 0.038 0.889
Se 0.397 0.558 0.399
Se 0.558 0.397 0.899
Se 0.709 0.876 0.372
Se 0.876 0.709 0.872

D(E_F)   0.000 states/eV/atom
Energy relative to the elements, uncorrected   -0.80 eV/atom
Mass density   3.9 g cm⁻³
Electronic total energy   -4.750 eV per atom
Magnetization   0.000 μB per formula unit


No. 22
VASP calculation (GGA-PBEsol) on crystalline BeSiMo at its relaxed geometry.

Lattice parameters (Å, degrees): 2.694 3.305 8.176 90.00 90.00 90.00
Atoms (fractional coordinates):
Be 0.000 0.000 0.000
Be 0.500 0.500 0.500
Si 0.000 0.000 0.355
Si 0.500 0.500 0.855
Mo 0.000 0.000 0.672
Mo 0.500 0.500 0.172

D(E_F)   0.553 states/eV/atom
Energy relative to the elements, uncorrected   -0.10 eV/atom
Mass density   6.1 g cm⁻³
Electronic total energy   -7.270 eV per atom
Magnetization   0.000 μB per formula unit


No. 23
VASP calculation (GGA-PBEsol) on crystalline HgI2NO at its relaxed geometry.

Lattice parameters (Å, degrees): 5.961 5.961 3.982 90.00 90.00 90.00
Atoms (fractional coordinates):
Hg 0.000 0.000 0.000
I 0.000 0.500 0.000
I 0.500 0.000 0.000
N 0.500 0.500 0.500
O 0.000 0.000 0.500

D(E_F)   1.984 states/eV/atom
Energy relative to the elements, uncorrected   1.34 eV/atom
Mass density   5.7 g cm⁻³
Electronic total energy   -2.230 eV per atom
Magnetization   2.952 μB per formula unit